VASP calculation (PBE with a Hubbard U) on crystalline V2Hg3O8 at its relaxed geometry.

## Properties
calculated total energy	-5.372	eV per atom
space group	Cmce (64)

a = 7.6413 Å, b = 7.8203 Å, c = 8.1533 Å
α = 90.00°, β = 90.00°, γ = 119.25°
Last column: nearest neighbours and their distance in Å.
Atoms (fractional coordinates):
Hg1 0.1001 0.7002 0.2500  2 O 2.11
Hg2 0.5000 0.0000 0.5000  2 O 2.04
Hg3 0.8999 0.2998 0.7500  2 O 2.11
Hg4 0.3999 0.2998 0.7500  2 O 2.11
Hg5 0.6001 0.7002 0.2500  2 O 2.11
Hg6 0.0000 0.0000 0.0000  2 O 2.04
O1 0.5679 0.7544 0.0014  1 V 1.75
O2 0.4753 0.9506 0.7465  1 V 1.80
O3 0.4321 0.2456 0.9986  1 V 1.75
O4 0.9753 0.9506 0.7535  1 V 1.80
O5 0.2376 0.4753 0.2807  1 V 1.71
O6 0.0679 0.7544 0.4986  1 V 1.75
O7 0.5247 0.0494 0.2535  1 V 1.80
O8 0.8135 0.2456 0.9986  1 V 1.75
O9 0.7624 0.5247 0.7193  1 V 1.71
O10 0.6865 0.7544 0.4986  1 V 1.75
O11 0.9321 0.2456 0.5014  1 V 1.75
O12 0.1865 0.7544 0.0014  1 V 1.75
O13 0.7376 0.4753 0.2193  1 V 1.71
O14 0.3135 0.2456 0.5014  1 V 1.75
O15 0.0247 0.0494 0.2465  1 V 1.80
O16 0.2624 0.5247 0.7807  1 V 1.71
V1 0.3720 0.7440 0.8829  4 O 1.71-1.80
V2 0.6280 0.2560 0.1171  4 O 1.71-1.80
V3 0.1280 0.2560 0.3829  4 O 1.71-1.80
V4 0.8720 0.7440 0.6171  4 O 1.71-1.80